Entry 1:
AcCdInSn | PBE | relaxed

POSCAR file:
```
AcCdInSn
1.0
4.818 0.000 0.000
0.000 4.863 0.000
0.000 0.000 5.029
In Cd Sn Ac
1 1 1 1
direct
0.500 0.500 0.000
0.000 0.000 0.000
0.500 0.000 0.500
0.000 0.500 0.500
```

Properties
- SG: No. 47
- E: -3.3513 eV per atom



Entry 2:
AcCdInSn | PBE | relaxed

POSCAR file:
```
AcCdInSn
1.0
5.508 0.000 0.000
2.754 4.770 0.000
2.754 1.590 4.497
Cd In Ac Sn
1 1 1 1
direct
0.000 0.000 0.000
0.500 0.500 0.500
0.750 0.750 0.750
0.250 0.250 0.250
```

Properties
- SG: No. 216
- E: -3.1967 eV per atom



Entry 3:
Sr2AcCd2In2 | PBE | relaxed

POSCAR file:
```
Sr2AcCd2In2
1.0
5.108 0.000 0.000
2.554 4.423 0.000
2.554 1.474 10.503
Sr Cd In Ac
2 2 2 1
direct
0.874 0.874 0.377
0.126 0.126 0.623
0.396 0.396 0.811
0.604 0.604 0.189
0.737 0.737 0.789
0.263 0.263 0.211
0.000 0.000 0.000
```

Properties
- SG: No. 166
- E: -2.4525 eV per atom



Entry 4:
SrAc2Cd2In2 | PBE | relaxed

POSCAR file:
```
SrAc2Cd2In2
1.0
5.116 0.000 0.000
2.558 4.430 0.000
2.558 1.477 10.364
Cd Ac In Sr
2 2 2 1
direct
0.601 0.601 0.198
0.399 0.399 0.802
0.873 0.873 0.381
0.127 0.127 0.619
0.740 0.740 0.781
0.260 0.260 0.219
0.000 0.000 0.000
```

Properties
- SG: No. 166
- E: -2.7461 eV per atom



Entry 5:
AcTbCdIn | PBE | relaxed

POSCAR file:
```
AcTbCdIn
1.0
3.915 0.000 0.000
0.000 3.915 0.000
0.000 0.000 7.920
Cd In Ac Tb
1 1 1 1
direct
0.000 0.000 0.392
0.000 0.000 0.825
0.500 0.500 0.107
0.500 0.500 0.604
```

Properties
- SG: No. 99
- E: -3.4691 eV per atom



Entry 6:
AcTbCd2In2 | PBE | relaxed

POSCAR file:
```
AcTbCd2In2
1.0
4.973 0.000 0.000
-2.486 4.306 0.000
0.000 0.000 7.866
In Cd Ac Tb
2 2 1 1
direct
0.333 0.667 0.273
0.667 0.333 0.727
0.333 0.667 0.703
0.667 0.333 0.297
0.000 0.000 0.000
0.000 0.000 0.500
```

Properties
- SG: No. 164
- E: -3.1007 eV per atom



no.,energy of formation from the pure elements (eV per formula unit)
1,-1.64
2,-1.02
3,-2.39
4,-2.02
5,-1.48
6,-2.56